# PBE TaGaB2Br, relaxed
# E	-20.85	eV/f.u.
# density	7.1	g/cm3
# E_form (uncorrected)	1.81	eV/atom
# M_tot	0.00	Bohr magnetons per cell
# D(E_F)	5.6	states/eV/f.u.
# symmetry	P4/mmm (123)
data_TaGaB2Br
_cell_length_a 3.9998
_cell_length_b 5.1597
_cell_length_c 3.9998
_cell_angle_alpha 90.00
_cell_angle_beta 90.00
_cell_angle_gamma 90.00
_symmetry_space_group_name_H-M 'P 1'
_symmetry_Int_Tables_number 1
_symmetry_space_group_name_Hall 'P 1'
loop_
_atom_site_label
_atom_site_fract_x
_atom_site_fract_y
_atom_site_fract_z
B1 0.0000 0.0000 0.5000
B2 0.5000 0.0000 0.0000
Ga1 0.0000 0.0000 0.0000
Br1 0.0000 0.5000 0.0000
Ta1 0.5000 0.5000 0.5000

# PBE Gd2BBr, relaxed
# E	-39.59	eV/f.u.
# density	7.0	g/cm3
# E_form (uncorrected)	-0.77	eV/atom
# M_tot	14.21	Bohr magnetons per cell
# D(E_F)	3.5	states/eV/f.u.
# symmetry	R-3m (166)
data_Gd2BBr
_cell_length_a 3.9300
_cell_length_b 3.9300
_cell_length_c 7.5384
_cell_angle_alpha 74.89
_cell_angle_beta 74.89
_cell_angle_gamma 60.00
_symmetry_space_group_name_H-M 'P 1'
_symmetry_Int_Tables_number 1
_symmetry_space_group_name_Hall 'P 1'
loop_
_atom_site_label
_atom_site_fract_x
_atom_site_fract_y
_atom_site_fract_z
B1 0.0000 0.0000 0.0000
Gd1 0.2713 0.2713 0.1861
Gd2 0.7287 0.7287 0.8139
Br1 0.5000 0.5000 0.5000

# PBE Gd3BBr3, relaxed
# E	-62.85	eV/f.u.
# density	6.5	g/cm3
# E_form (uncorrected)	-1.27	eV/atom
# M_tot	86.04	Bohr magnetons per cell
# D(E_F)	3.7	states/eV/f.u.
# symmetry	I4_132 (214)
data_Gd3BBr3
_cell_length_a 9.8651
_cell_length_b 9.8651
_cell_length_c 9.8651
_cell_angle_alpha 109.47
_cell_angle_beta 109.47
_cell_angle_gamma 109.47
_symmetry_space_group_name_H-M 'P 1'
_symmetry_Int_Tables_number 1
_symmetry_space_group_name_Hall 'P 1'
loop_
_atom_site_label
_atom_site_fract_x
_atom_site_fract_y
_atom_site_fract_z
Gd1 0.4597 0.4799 0.2299
Gd2 0.7500 0.2299 0.2701
Gd3 0.7500 0.0201 0.4799
Gd4 0.2299 0.4597 0.4799
Gd5 0.2701 0.7500 0.2299
Gd6 0.0403 0.2701 0.0201
Gd7 0.0201 0.0403 0.2701
Gd8 0.4799 0.7500 0.0201
Gd9 0.4799 0.2299 0.4597
Gd10 0.0201 0.4799 0.7500
Gd11 0.2701 0.0201 0.0403
Gd12 0.2299 0.2701 0.7500
B1 0.2500 0.2500 0.2500
B2 0.5000 0.0000 0.2500
B3 0.0000 0.2500 0.5000
B4 0.2500 0.5000 0.0000
Br1 0.2500 0.7576 0.7424
Br2 0.5152 0.5076 0.7576
Br3 0.9848 0.7424 0.9924
Br4 0.7424 0.2500 0.7576
Br5 0.9924 0.9848 0.7424
Br6 0.2500 0.9924 0.5076
Br7 0.7576 0.5152 0.5076
Br8 0.5076 0.2500 0.9924
Br9 0.7576 0.7424 0.2500
Br10 0.7424 0.9924 0.9848
Br11 0.9924 0.5076 0.2500
Br12 0.5076 0.7576 0.5152

# PBE Ge3BBr, relaxed
# E	-18.57	eV/f.u.
# density	5.3	g/cm3
# distance to the lowest polymorph of the same formula	0.00	eV per formula unit
# E_form (uncorrected)	0.73	eV/atom
# M_tot	0.00	Bohr magnetons per cell
# D(E_F)	5.0	states/eV/f.u.
# symmetry	Pm-3m (221)
data_Ge3BBr
_cell_length_a 4.5844
_cell_length_b 4.5844
_cell_length_c 4.5844
_cell_angle_alpha 90.00
_cell_angle_beta 90.00
_cell_angle_gamma 90.00
_symmetry_space_group_name_H-M 'P 1'
_symmetry_Int_Tables_number 1
_symmetry_space_group_name_Hall 'P 1'
loop_
_atom_site_label
_atom_site_fract_x
_atom_site_fract_y
_atom_site_fract_z
Ge1 0.0000 0.5000 0.0000
Ge2 0.0000 0.0000 0.5000
Ge3 0.5000 0.0000 0.0000
B1 0.0000 0.0000 0.0000
Br1 0.5000 0.5000 0.5000

# PBE GeB2Br, relaxed
# E	-15.63	eV/f.u.
# density	4.3	g/cm3
# distance to the lowest polymorph of the same formula	0.00	eV per formula unit
# E_form (uncorrected)	1.00	eV/atom
# M_tot	0.00	Bohr magnetons per cell
# D(E_F)	2.7	states/eV/f.u.
# symmetry	I-42d (122)
data_GeB2Br
_cell_length_a 5.1618
_cell_length_b 5.1618
_cell_length_c 6.2744
_cell_angle_alpha 65.71
_cell_angle_beta 65.71
_cell_angle_gamma 90.00
_symmetry_space_group_name_H-M 'P 1'
_symmetry_Int_Tables_number 1
_symmetry_space_group_name_Hall 'P 1'
loop_
_atom_site_label
_atom_site_fract_x
_atom_site_fract_y
_atom_site_fract_z
Ge1 0.5000 0.5000 0.0000
Ge2 0.2500 0.7500 0.5000
B1 0.5607 0.1250 0.2500
B2 0.1893 0.6250 0.2500
B3 0.3750 0.4393 0.7500
B4 0.8750 0.8107 0.7500
Br1 0.0000 0.0000 0.0000
Br2 0.7500 0.2500 0.5000

# PBE Ge3BBr, relaxed
# E	-13.16	eV/f.u.
# density	3.7	g/cm3
# distance to the lowest polymorph of the same formula	5.41	eV per formula unit
# E_form (uncorrected)	1.81	eV/atom
# M_tot	0.00	Bohr magnetons per cell
# D(E_F)	1.1	states/eV/f.u.
# symmetry	Pm-3m (221)
data_Ge3BBr
_cell_length_a 5.1747
_cell_length_b 5.1747
_cell_length_c 5.1747
_cell_angle_alpha 90.00
_cell_angle_beta 90.00
_cell_angle_gamma 90.00
_symmetry_space_group_name_H-M 'P 1'
_symmetry_Int_Tables_number 1
_symmetry_space_group_name_Hall 'P 1'
loop_
_atom_site_label
_atom_site_fract_x
_atom_site_fract_y
_atom_site_fract_z
Ge1 0.0000 0.5000 0.0000
Ge2 0.0000 0.0000 0.5000
Ge3 0.5000 0.0000 0.0000
B1 0.5000 0.5000 0.5000
Br1 0.0000 0.0000 0.0000

# PBE GeBBr2, relaxed
# E	-10.47	eV/f.u.
# density	3.7	g/cm3
# distance to the lowest polymorph of the same formula	0.90	eV per formula unit
# E_form (uncorrected)	1.04	eV/atom
# M_tot	0.00	Bohr magnetons per cell
# D(E_F)	4.0	states/eV/f.u.
# symmetry	I-42d (122)
data_GeBBr2
_cell_length_a 6.3690
_cell_length_b 6.3690
_cell_length_c 7.0514
_cell_angle_alpha 63.15
_cell_angle_beta 63.15
_cell_angle_gamma 90.00
_symmetry_space_group_name_H-M 'P 1'
_symmetry_Int_Tables_number 1
_symmetry_space_group_name_Hall 'P 1'
loop_
_atom_site_label
_atom_site_fract_x
_atom_site_fract_y
_atom_site_fract_z
Ge1 0.0000 0.0000 0.0000
Ge2 0.7500 0.2500 0.5000
B1 0.5000 0.5000 0.0000
B2 0.2500 0.7500 0.5000
Br1 0.4966 0.1250 0.2500
Br2 0.2534 0.6250 0.2500
Br3 0.3750 0.5034 0.7500
Br4 0.8750 0.7466 0.7500

# PBE GeBBr2, relaxed
# E	-10.69	eV/f.u.
# density	4.7	g/cm3
# distance to the lowest polymorph of the same formula	0.67	eV per formula unit
# E_form (uncorrected)	0.99	eV/atom
# M_tot	0.00	Bohr magnetons per cell
# D(E_F)	1.6	states/eV/f.u.
# symmetry	Fm-3m (225)
data_GeBBr2
_cell_length_a 4.9384
_cell_length_b 4.9384
_cell_length_c 4.9384
_cell_angle_alpha 60.00
_cell_angle_beta 60.00
_cell_angle_gamma 60.00
_symmetry_space_group_name_H-M 'P 1'
_symmetry_Int_Tables_number 1
_symmetry_space_group_name_Hall 'P 1'
loop_
_atom_site_label
_atom_site_fract_x
_atom_site_fract_y
_atom_site_fract_z
Ge1 0.5000 0.5000 0.5000
B1 0.0000 0.0000 0.0000
Br1 0.2500 0.2500 0.2500
Br2 0.7500 0.7500 0.7500

# PBE GeB2Br, relaxed
# E	-11.94	eV/f.u.
# density	5.0	g/cm3
# distance to the lowest polymorph of the same formula	3.70	eV per formula unit
# E_form (uncorrected)	1.93	eV/atom
# M_tot	0.00	Bohr magnetons per cell
# D(E_F)	1.9	states/eV/f.u.
# symmetry	Fm-3m (225)
data_GeB2Br
_cell_length_a 4.3503
_cell_length_b 4.3503
_cell_length_c 4.3503
_cell_angle_alpha 60.00
_cell_angle_beta 60.00
_cell_angle_gamma 60.00
_symmetry_space_group_name_H-M 'P 1'
_symmetry_Int_Tables_number 1
_symmetry_space_group_name_Hall 'P 1'
loop_
_atom_site_label
_atom_site_fract_x
_atom_site_fract_y
_atom_site_fract_z
Ge1 0.0000 0.0000 0.0000
B1 0.2500 0.2500 0.2500
B2 0.7500 0.7500 0.7500
Br1 0.5000 0.5000 0.5000

# PBE GeBBr2, relaxed
# E	-11.37	eV/f.u.
# density	4.5	g/cm3
# distance to the lowest polymorph of the same formula	0.00	eV per formula unit
# E_form (uncorrected)	0.82	eV/atom
# M_tot	0.00	Bohr magnetons per cell
# D(E_F)	1.1	states/eV/f.u.
# symmetry	R-3m (166)
data_GeBBr2
_cell_length_a 8.8088
_cell_length_b 8.8088
_cell_length_c 8.8088
_cell_angle_alpha 22.76
_cell_angle_beta 22.76
_cell_angle_gamma 22.76
_symmetry_space_group_name_H-M 'P 1'
_symmetry_Int_Tables_number 1
_symmetry_space_group_name_Hall 'P 1'
loop_
_atom_site_label
_atom_site_fract_x
_atom_site_fract_y
_atom_site_fract_z
Ge1 0.0000 0.0000 0.0000
B1 0.5000 0.5000 0.5000
Br1 0.8931 0.8931 0.8931
Br2 0.1069 0.1069 0.1069

# PBE KGe2BBr, relaxed
# E	-18.14	eV/f.u.
# density	3.4	g/cm3
# E_form (uncorrected)	0.11	eV/atom
# M_tot	0.00	Bohr magnetons per cell
# D(E_F)	2.0	states/eV/f.u.
# symmetry	P4/mmm (123)
data_KGe2BBr
_cell_length_a 4.3192
_cell_length_b 7.1034
_cell_length_c 4.3192
_cell_angle_alpha 90.00
_cell_angle_beta 90.00
_cell_angle_gamma 90.00
_symmetry_space_group_name_H-M 'P 1'
_symmetry_Int_Tables_number 1
_symmetry_space_group_name_Hall 'P 1'
loop_
_atom_site_label
_atom_site_fract_x
_atom_site_fract_y
_atom_site_fract_z
Ge1 0.0000 0.0000 0.5000
Ge2 0.5000 0.0000 0.0000
B1 0.0000 0.0000 0.0000
K1 0.0000 0.5000 0.0000
Br1 0.5000 0.5000 0.5000